[1]
Compound: Zn
Source: OQMD
Functional: PBE-GGA
Structure: optimized geometry

Structure (CIF):
```
data_Zn
_space_group_name_H-M_alt 'C m c m'
_space_group_IT_number 63
_space_group_name_Hall '-C 2c 2'
_cell_length_a 2.7103
_cell_length_b 4.6496
_cell_length_c 4.6180
_cell_angle_alpha 90.00
_cell_angle_beta 90.00
_cell_angle_gamma 90.00
loop_
_atom_site_label
_atom_site_type_symbol
_atom_site_fract_x
_atom_site_fract_y
_atom_site_fract_z
Zn1 Zn 0.0000 0.1668 0.2500
```

Results
E_form = 8 meV per atom
Excess energy over the best structure of this formula in the dataset = 8 meV per atom

=====

[2]
Compound: AcSnPd
Source: OQMD
Functional: PBE-GGA
Structure: optimized geometry

Structure (CIF):
```
data_AcSnPd
_space_group_name_H-M_alt 'P -6 m 2'
_space_group_IT_number 187
_space_group_name_Hall 'P -6 2'
_cell_length_a 4.8034
_cell_length_b 4.8034
_cell_length_c 4.1170
_cell_angle_alpha 90.00
_cell_angle_beta 90.00
_cell_angle_gamma 120.00
loop_
_atom_site_label
_atom_site_type_symbol
_atom_site_fract_x
_atom_site_fract_y
_atom_site_fract_z
Ac1 Ac 0.0000 0.0000 0.0000
Sn1 Sn 0.6667 0.3333 0.5000
Pd1 Pd 0.3333 0.6667 0.5000
```

Results
Excess energy over the best structure of this formula in the dataset = 0 meV per atom

=====

[3]
Compound: Ho11Sn10
Source: OQMD
Functional: PBE-GGA
Structure: optimized geometry

Structure (CIF):
```
data_Ho11Sn10
_space_group_name_H-M_alt 'I 4/m m m'
_space_group_IT_number 139
_space_group_name_Hall '-I 4 2'
_cell_length_a 11.5743
_cell_length_b 11.5743
_cell_length_c 16.9258
_cell_angle_alpha 90.00
_cell_angle_beta 90.00
_cell_angle_gamma 90.00
loop_
_atom_site_label
_atom_site_type_symbol
_atom_site_fract_x
_atom_site_fract_y
_atom_site_fract_z
Ho1 Ho 0.0000 0.0000 0.1670
Ho2 Ho 0.0000 0.2510 0.3116
Ho3 Ho 0.0000 0.3319 0.1023
Ho4 Ho 0.1736 0.1736 0.5000
Sn1 Sn 0.0000 0.0000 0.3885
Sn2 Sn 0.0000 0.3553 0.5000
Sn3 Sn 0.0000 0.5000 0.2500
Sn4 Sn 0.1300 0.1300 0.0000
Sn5 Sn 0.2057 0.2057 0.1755
```

Results
Electronic total energy = -5.027 eV per atom

=====

[4]
Compound: TlCu3WS4
Source: OQMD
Functional: PBE-GGA
Structure: optimized geometry

Structure (CIF):
```
data_TlCu3WS4
_space_group_name_H-M_alt 'P -4 3 m'
_space_group_IT_number 215
_space_group_name_Hall 'P -4 2 3'
_cell_length_a 5.8682
_cell_length_b 5.8682
_cell_length_c 5.8682
_cell_angle_alpha 90.00
_cell_angle_beta 90.00
_cell_angle_gamma 90.00
loop_
_atom_site_label
_atom_site_type_symbol
_atom_site_fract_x
_atom_site_fract_y
_atom_site_fract_z
Tl1 Tl 0.0000 0.0000 0.0000
Cu1 Cu 0.0000 0.5000 0.5000
W1 W 0.5000 0.5000 0.5000
S1 S 0.2759 0.2759 0.2759
```

Results
Electronic total energy = -4.869 eV per atom

=====

[5]
Compound: Dy2TmIn3CuNi2
Source: OQMD
Functional: PBE-GGA
Structure: optimized geometry

Structure (CIF):
```
data_Dy2TmIn3CuNi2
_space_group_name_H-M_alt 'A m m 2'
_space_group_IT_number 38
_space_group_name_Hall 'A 2 -2'
_cell_length_a 3.8179
_cell_length_b 12.8905
_cell_length_c 7.4395
_cell_angle_alpha 90.00
_cell_angle_beta 90.00
_cell_angle_gamma 90.00
loop_
_atom_site_label
_atom_site_type_symbol
_atom_site_fract_x
_atom_site_fract_y
_atom_site_fract_z
Dy1 Dy 0.0000 0.2062 0.0000
Tm1 Tm 0.0000 0.0000 0.3814
In1 In 0.5000 0.0000 0.0530
In2 In 0.5000 0.1281 0.6637
Cu1 Cu 0.0000 0.0000 0.7923
Ni1 Ni 0.5000 0.1655 0.2938
```

Results
Electronic total energy = -4.564 eV per atom

=====

[6]
Compound: ReHgO3
Source: OQMD
Functional: PBE-GGA
Structure: optimized geometry

Structure (CIF):
```
data_ReHgO3
_space_group_name_H-M_alt 'P -1'
_space_group_IT_number 2
_space_group_name_Hall '-P 1'
_cell_length_a 3.7834
_cell_length_b 3.7840
_cell_length_c 10.9638
_cell_angle_alpha 93.26
_cell_angle_beta 95.97
_cell_angle_gamma 90.43
loop_
_atom_site_label
_atom_site_type_symbol
_atom_site_fract_x
_atom_site_fract_y
_atom_site_fract_z
Re1 Re 0.0344 0.2776 0.1263
Hg1 Hg 0.2845 0.2454 0.5733
O1 O 0.0198 0.7673 0.0758
O2 O 0.0822 0.2852 0.2862
O3 O 0.4673 0.7210 0.8820
```

Results
Electronic total energy = -6.584 eV per atom

=====

[7]
Compound: SrAsOsO
Source: OQMD
Functional: PBE-GGA
Structure: optimized geometry

Structure (CIF):
```
data_SrAsOsO
_space_group_name_H-M_alt 'P m c 21'
_space_group_IT_number 26
_space_group_name_Hall 'P 2c -2'
_cell_length_a 4.2425
_cell_length_b 6.6509
_cell_length_c 6.2805
_cell_angle_alpha 90.00
_cell_angle_beta 90.00
_cell_angle_gamma 90.00
loop_
_atom_site_label
_atom_site_type_symbol
_atom_site_fract_x
_atom_site_fract_y
_atom_site_fract_z
Sr1 Sr 0.0000 0.2097 0.0000
As1 As 0.0000 0.2675 0.4986
Os1 Os 0.5000 0.4060 0.6091
O1 O 0.5000 0.3508 0.9205
```

Results
Excess energy over the best structure of this formula in the dataset = 288 meV per atom

=====

[8]
Compound: Na3TaSe3S
Source: OQMD
Functional: PBE-GGA
Structure: optimized geometry

Structure (CIF):
```
data_Na3TaSe3S
_space_group_name_H-M_alt 'R 3 m'
_space_group_IT_number 160
_space_group_name_Hall 'R 3 -2"'
_cell_length_a 9.8976
_cell_length_b 9.8976
_cell_length_c 12.3125
_cell_angle_alpha 90.00
_cell_angle_beta 90.00
_cell_angle_gamma 120.00
loop_
_atom_site_label
_atom_site_type_symbol
_atom_site_fract_x
_atom_site_fract_y
_atom_site_fract_z
Na1 Na 0.1698 0.3395 0.0000
Ta1 Ta 0.0000 0.0000 0.1643
Se1 Se 0.1993 0.3986 0.7661
S1 S 0.0000 0.0000 0.3502
```

Results
Electronic total energy = -4.819 eV per atom

=====

[9]
Compound: FeSe
Source: OQMD
Functional: PBE-GGA
Structure: optimized geometry

Structure (CIF):
```
data_FeSe
_space_group_name_H-M_alt 'P m m a'
_space_group_IT_number 51
_space_group_name_Hall '-P 2a 2a'
_cell_length_a 3.8654
_cell_length_b 3.1354
_cell_length_c 5.8224
_cell_angle_alpha 90.00
_cell_angle_beta 90.00
_cell_angle_gamma 90.00
loop_
_atom_site_label
_atom_site_type_symbol
_atom_site_fract_x
_atom_site_fract_y
_atom_site_fract_z
Fe1 Fe 0.2500 0.0000 0.1238
Se1 Se 0.2500 0.5000 0.7499
```

Results
Electronic total energy = -5.798 eV per atom

=====

[10]
Compound: SrZrAl2
Source: OQMD
Functional: PBE-GGA
Structure: optimized geometry

Structure (CIF):
```
data_SrZrAl2
_space_group_name_H-M_alt 'F -4 3 m'
_space_group_IT_number 216
_space_group_name_Hall 'F -4 2 3'
_cell_length_a 7.1977
_cell_length_b 7.1977
_cell_length_c 7.1977
_cell_angle_alpha 90.00
_cell_angle_beta 90.00
_cell_angle_gamma 90.00
loop_
_atom_site_label
_atom_site_type_symbol
_atom_site_fract_x
_atom_site_fract_y
_atom_site_fract_z
Sr1 Sr 0.0000 0.0000 0.0000
Zr1 Zr 0.2500 0.2500 0.2500
Al1 Al 0.0000 0.0000 0.5000
Al2 Al 0.2500 0.2500 0.7500
```

Results
Electronic total energy = -4.009 eV per atom

=====

[11]
Compound: ZrTlAgTe3
Source: OQMD
Functional: PBE-GGA
Structure: optimized geometry

Structure (CIF):
```
data_ZrTlAgTe3
_space_group_name_H-M_alt 'C 1 2/m 1'
_space_group_IT_number 12
_space_group_name_Hall '-C 2y'
_cell_length_a 18.9394
_cell_length_b 4.1346
_cell_length_c 9.3255
_cell_angle_alpha 90.00
_cell_angle_beta 99.22
_cell_angle_gamma 90.00
loop_
_atom_site_label
_atom_site_type_symbol
_atom_site_fract_x
_atom_site_fract_y
_atom_site_fract_z
Zr1 Zr 0.1622 0.0000 0.0922
Tl1 Tl 0.1272 0.0000 0.5800
Ag1 Ag 0.0428 0.5000 0.2176
Te1 Te 0.0000 0.0000 0.0000
Te2 Te 0.0000 0.5000 0.5000
Te3 Te 0.1774 0.5000 0.8758
Te4 Te 0.1883 0.5000 0.3150
```

Results
Excess energy over the best structure of this formula in the dataset = 90 meV per atom

=====

[12]
Compound: CoB2Au
Source: OQMD
Functional: PBE-GGA
Structure: optimized geometry

Structure (CIF):
```
data_CoB2Au
_space_group_name_H-M_alt 'F -4 3 m'
_space_group_IT_number 216
_space_group_name_Hall 'F -4 2 3'
_cell_length_a 5.5868
_cell_length_b 5.5868
_cell_length_c 5.5868
_cell_angle_alpha 90.00
_cell_angle_beta 90.00
_cell_angle_gamma 90.00
loop_
_atom_site_label
_atom_site_type_symbol
_atom_site_fract_x
_atom_site_fract_y
_atom_site_fract_z
Co1 Co 0.0000 0.0000 0.0000
B1 B 0.0000 0.0000 0.5000
B2 B 0.2500 0.2500 0.7500
Au1 Au 0.2500 0.2500 0.2500
```

Results
Electronic total energy = -4.589 eV per atom

=====

[13]
Compound: KFeTe2AuSe
Source: OQMD
Functional: PBE-GGA
Structure: optimized geometry

Structure (CIF):
```
data_KFeTe2AuSe
_space_group_name_H-M_alt 'C m c m'
_space_group_IT_number 63
_space_group_name_Hall '-C 2c 2'
_cell_length_a 3.8482
_cell_length_b 16.0654
_cell_length_c 10.4048
_cell_angle_alpha 90.00
_cell_angle_beta 90.00
_cell_angle_gamma 90.00
loop_
_atom_site_label
_atom_site_type_symbol
_atom_site_fract_x
_atom_site_fract_y
_atom_site_fract_z
K1 K 0.0000 0.2457 0.2500
Fe1 Fe 0.0000 0.0000 0.0000
Te1 Te 0.0000 0.3914 0.5049
Au1 Au 0.0000 0.4312 0.7500
Se1 Se 0.0000 0.0528 0.7500
```

Results
Electronic total energy = -3.918 eV per atom

=====

[14]
Compound: LiInAg2
Source: OQMD
Functional: PBE-GGA
Structure: optimized geometry

Structure (CIF):
```
data_LiInAg2
_space_group_name_H-M_alt 'P 63/m m c'
_space_group_IT_number 194
_space_group_name_Hall '-P 6c 2c'
_cell_length_a 4.7574
_cell_length_b 4.7574
_cell_length_c 8.2090
_cell_angle_alpha 90.00
_cell_angle_beta 90.00
_cell_angle_gamma 120.00
loop_
_atom_site_label
_atom_site_type_symbol
_atom_site_fract_x
_atom_site_fract_y
_atom_site_fract_z
Li1 Li 0.3333 0.6667 0.2500
In1 In 0.0000 0.0000 0.0000
Ag1 Ag 0.3333 0.6667 0.5807
```

Results
Electronic total energy = -2.710 eV per atom

=====

[15]
Compound: TaCoSi
Source: OQMD
Functional: PBE-GGA
Structure: optimized geometry

Structure (CIF):
```
data_TaCoSi
_space_group_name_H-M_alt 'P n m a'
_space_group_IT_number 62
_space_group_name_Hall '-P 2ac 2n'
_cell_length_a 6.2087
_cell_length_b 3.6517
_cell_length_c 7.0284
_cell_angle_alpha 90.00
_cell_angle_beta 90.00
_cell_angle_gamma 90.00
loop_
_atom_site_label
_atom_site_type_symbol
_atom_site_fract_x
_atom_site_fract_y
_atom_site_fract_z
Ta1 Ta 0.0203 0.2500 0.1794
Co1 Co 0.1415 0.2500 0.5637
Si1 Si 0.2250 0.7500 0.3818
```

Results
Electronic total energy = -8.852 eV per atom

=====

[16]
Compound: YTmCS
Source: OQMD
Functional: PBE-GGA
Structure: optimized geometry

Structure (CIF):
```
data_YTmCS
_space_group_name_H-M_alt 'P 63 m c'
_space_group_IT_number 186
_space_group_name_Hall 'P 6c -2c'
_cell_length_a 3.6773
_cell_length_b 3.6773
_cell_length_c 12.7981
_cell_angle_alpha 90.00
_cell_angle_beta 90.00
_cell_angle_gamma 120.00
loop_
_atom_site_label
_atom_site_type_symbol
_atom_site_fract_x
_atom_site_fract_y
_atom_site_fract_z
Y1 Y 0.3333 0.6667 0.0000
Tm1 Tm 0.3333 0.6667 0.2923
C1 C 0.0000 0.0000 0.3942
S1 S 0.3333 0.6667 0.6488
```

Results
Electronic total energy = -7.355 eV per atom

=====

[17]
Compound: TbZnPd
Source: OQMD
Functional: PBE-GGA
Structure: optimized geometry

Structure (CIF):
```
data_TbZnPd
_space_group_name_H-M_alt 'P -6 2 m'
_space_group_IT_number 189
_space_group_name_Hall 'P -6 -2'
_cell_length_a 7.1970
_cell_length_b 7.1970
_cell_length_c 3.9220
_cell_angle_alpha 90.00
_cell_angle_beta 90.00
_cell_angle_gamma 120.00
loop_
_atom_site_label
_atom_site_type_symbol
_atom_site_fract_x
_atom_site_fract_y
_atom_site_fract_z
Tb1 Tb 0.0000 0.5918 0.0000
Zn1 Zn 0.0000 0.0000 0.0000
Zn2 Zn 0.3333 0.6667 0.5000
Pd1 Pd 0.0000 0.2513 0.5000
```

Results
E_form = -643 meV per atom

=====

[18]
Compound: ZrGaAsO
Source: OQMD
Functional: PBE-GGA
Structure: optimized geometry

Structure (CIF):
```
data_ZrGaAsO
_space_group_name_H-M_alt 'P m c 21'
_space_group_IT_number 26
_space_group_name_Hall 'P 2c -2'
_cell_length_a 3.8721
_cell_length_b 7.9292
_cell_length_c 5.4566
_cell_angle_alpha 90.00
_cell_angle_beta 90.00
_cell_angle_gamma 90.00
loop_
_atom_site_label
_atom_site_type_symbol
_atom_site_fract_x
_atom_site_fract_y
_atom_site_fract_z
Zr1 Zr 0.0000 0.1466 0.0000
Ga1 Ga 0.5000 0.3886 0.6222
As1 As 0.0000 0.1920 0.4909
O1 O 0.5000 0.2251 0.9838
```

Results
Excess energy over the best structure of this formula in the dataset = 150 meV per atom

=====

[19]
Compound: SrAsPdO
Source: OQMD
Functional: PBE-GGA
Structure: optimized geometry

Structure (CIF):
```
data_SrAsPdO
_space_group_name_H-M_alt 'P 4/n m m'
_space_group_IT_number 129
_cell_length_a 4.3987
_cell_length_b 4.3987
_cell_length_c 8.0264
_cell_angle_alpha 90.00
_cell_angle_beta 90.00
_cell_angle_gamma 90.00
loop_
_space_group_symop_operation_xyz
'x,y,z'
'-x,-y,-z'
'-y+1/2,x,z'
'y+1/2,-x,-z'
'-x+1/2,-y+1/2,z'
'x+1/2,y+1/2,-z'
'y,-x+1/2,z'
'-y,x+1/2,-z'
'x+1/2,-y,-z'
'-x+1/2,y,z'
'-y,-x,-z'
'y,x,z'
'-x,y+1/2,-z'
'x,-y+1/2,z'
'y+1/2,x+1/2,-z'
'-y+1/2,-x+1/2,z'
loop_
_atom_site_label
_atom_site_type_symbol
_atom_site_fract_x
_atom_site_fract_y
_atom_site_fract_z
Sr1 Sr 0.2500 0.2500 0.1201
As1 As 0.2500 0.2500 0.6528
Pd1 Pd 0.2500 0.7500 0.5000
O1 O 0.2500 0.7500 0.0000
```

Results
Excess energy over the best structure of this formula in the dataset = 1 meV per atom

=====

[20]
Compound: YHoB2Pd2C2
Source: OQMD
Functional: PBE-GGA
Structure: optimized geometry

Structure (CIF):
```
data_YHoB2Pd2C2
_space_group_name_H-M_alt 'P 4 m m'
_space_group_IT_number 99
_space_group_name_Hall 'P 4 -2'
_cell_length_a 3.7512
_cell_length_b 3.7512
_cell_length_c 7.7631
_cell_angle_alpha 90.00
_cell_angle_beta 90.00
_cell_angle_gamma 90.00
loop_
_atom_site_label
_atom_site_type_symbol
_atom_site_fract_x
_atom_site_fract_y
_atom_site_fract_z
Y1 Y 0.0000 0.0000 0.0000
Ho1 Ho 0.5000 0.5000 0.6827
B1 B 0.0000 0.0000 0.5025
B2 B 0.5000 0.5000 0.1792
Pd1 Pd 0.0000 0.5000 0.3416
C1 C 0.0000 0.0000 0.6925
C2 C 0.5000 0.5000 0.9889
```

Results
Electronic total energy = -7.176 eV per atom

=====

[21]
Compound: Pr2SO2
Source: OQMD
Functional: PBE-GGA
Structure: optimized geometry

Structure (CIF):
```
data_Pr2SO2
_space_group_name_H-M_alt 'P -3 m 1'
_space_group_IT_number 164
_space_group_name_Hall '-P 3 2"'
_cell_length_a 3.9991
_cell_length_b 3.9991
_cell_length_c 6.8290
_cell_angle_alpha 90.00
_cell_angle_beta 90.00
_cell_angle_gamma 120.00
loop_
_atom_site_label
_atom_site_type_symbol
_atom_site_fract_x
_atom_site_fract_y
_atom_site_fract_z
Pr1 Pr 0.3333 0.6667 0.2208
S1 S 0.0000 0.0000 0.5000
O1 O 0.3333 0.6667 0.8694
```

Results
Electronic total energy = -7.761 eV per atom

=====

[22]
Compound: PrDySi2Os
Source: OQMD
Functional: PBE-GGA
Structure: optimized geometry

Structure (CIF):
```
data_PrDySi2Os
_space_group_name_H-M_alt 'C 1 2/m 1'
_space_group_IT_number 12
_space_group_name_Hall '-C 2y'
_cell_length_a 10.8415
_cell_length_b 4.2648
_cell_length_c 10.2400
_cell_angle_alpha 90.00
_cell_angle_beta 119.00
_cell_angle_gamma 90.00
loop_
_atom_site_label
_atom_site_type_symbol
_atom_site_fract_x
_atom_site_fract_y
_atom_site_fract_z
Pr1 Pr 0.1911 0.0000 0.1087
Dy1 Dy 0.0036 0.0000 0.6743
Si1 Si 0.0032 0.5000 0.1313
Si2 Si 0.1470 0.5000 0.5602
Os1 Os 0.2301 0.5000 0.3775
```

Results
Electronic total energy = -7.019 eV per atom

=====

[23]
Compound: Sr2Li2Cd3
Source: OQMD
Functional: PBE-GGA
Structure: optimized geometry

Structure (CIF):
```
data_Sr2Li2Cd3
_space_group_name_H-M_alt 'R 3 m'
_space_group_IT_number 160
_space_group_name_Hall 'R 3 -2"'
_cell_length_a 5.2589
_cell_length_b 5.2589
_cell_length_c 23.5561
_cell_angle_alpha 90.00
_cell_angle_beta 90.00
_cell_angle_gamma 120.00
loop_
_atom_site_label
_atom_site_type_symbol
_atom_site_fract_x
_atom_site_fract_y
_atom_site_fract_z
Sr1 Sr 0.0000 0.0000 0.0000
Sr2 Sr 0.0000 0.0000 0.4583
Li1 Li 0.0000 0.0000 0.1996
Li2 Li 0.0000 0.0000 0.7242
Cd1 Cd 0.0000 0.0000 0.3132
Cd2 Cd 0.0000 0.0000 0.5991
Cd3 Cd 0.0000 0.0000 0.8575
```

Results
Electronic total energy = -1.567 eV per atom